{
  "formula": "Ce2Pm3Ge4",
  "functional": "PBE-GGA",
  "state": "relaxed",
  "lattice_angstrom": [[7.795, -1.080, 0.000], [-3.604, 8.055, 0.000], [0.000, 0.000, 7.958]],
  "species": ["Pm", "Pm", "Ge", "Ge", "Pm", "Ge", "Ge", "Ce", "Ge", "Ge", "Pm", "Pm", "Ge", "Ce", "Ge", "Pm", "Ce", "Ce"],
  "frac_coords": [[0.142, 0.203, 0.678], [0.858, 0.797, 0.322], [0.880, 0.503, 0.126], [0.620, 0.497, 0.626], [0.000, 0.500, 0.500], [0.732, 0.912, 0.968], [0.268, 0.088, 0.032], [0.984, 0.769, 0.836], [0.768, 0.088, 0.468], [0.120, 0.497, 0.874], [0.358, 0.797, 0.178], [0.642, 0.203, 0.822], [0.232, 0.912, 0.532], [0.484, 0.769, 0.664], [0.380, 0.503, 0.374], [0.500, 0.500, 0.000], [0.016, 0.231, 0.164], [0.516, 0.231, 0.336]],
  "de_polymorph_mev_per_atom": 0,
  "e_form_mev_per_atom": -772,
  "final_energy_ev_per_atom": -5.726,
  "n_ef_per_ev_fu": 13.293,
  "rho_g_cm3": 7.1
}